Compound: NaPdSe4
Source: Alexandria via LeMat-Bulk
Functional: PBE
Structure: optimized geometry

Results
M_tot: 0.000 μB per formula unit
E_form (uncorrected): -0.359 eV per atom

a = 6.4290 Å, b = 6.1032 Å, c = 5.8290 Å
α = 104.33°, β = 43.26°, γ = 108.74°
Fractional positions:
Se  0.7333  0.0248  0.9308
Se  0.2667  0.9752  0.0692
Se  0.6173  0.6169  0.2778
Se  0.3827  0.3831  0.7222
Pd  0.5000  0.0000  0.5000
Na  0.0000  0.5000  0.5000

Compound: NaPd4Se2
Source: Alexandria via LeMat-Bulk
Functional: PBE
Structure: optimized geometry

Results
M_tot: 0.000 μB per formula unit
E_form (uncorrected): -0.369 eV per atom
polymorph energy (0 for the lowest one): 0.0 kJ/mol of atoms

a = 4.0584 Å, b = 7.9502 Å, c = 7.9502 Å
α = 90.00°, β = 90.00°, γ = 90.00°
Fractional positions:
Se  0.0000  0.7772  0.2228
Se  0.5000  0.7228  0.7228
Se  0.0000  0.2228  0.7772
Se  0.5000  0.2772  0.2772
Pd  0.0000  0.9031  0.6501
Pd  0.0000  0.0969  0.3499
Pd  0.5000  0.4031  0.8499
Pd  0.5000  0.8499  0.4031
Pd  0.5000  0.5969  0.1501
Pd  0.5000  0.1501  0.5969
Pd  0.0000  0.3499  0.0969
Pd  0.0000  0.6501  0.9031
Na  0.0000  0.5000  0.5000
Na  0.5000  0.0000  0.0000

Compound: NaPd5Se8
Source: Alexandria via LeMat-Bulk
Functional: PBE
Structure: optimized geometry

Results
M_tot: 0.000 μB per formula unit
E_form (uncorrected): -0.346 eV per atom

a = 3.9436 Å, b = 8.0613 Å, c = 9.7281 Å
α = 100.58°, β = 101.69°, γ = 90.00°
Fractional positions:
Pd  0.0001  0.0000  0.0001
Pd  0.6937  0.3199  0.3875
Pd  0.3462  0.0575  0.6925
Pd  0.3063  0.6801  0.6126
Pd  0.6537  0.9424  0.3075
Se  0.5628  0.1550  0.1256
Se  0.7790  0.8691  0.5579
Se  0.4373  0.8452  0.8746
Se  0.2210  0.1308  0.4421
Se  0.0994  0.7404  0.1987
Se  0.9006  0.2595  0.8013
Se  0.8226  0.4758  0.6452
Se  0.1775  0.5242  0.3549
Na  0.4998  0.5002  0.9996

Compound: NaPd3Se2
Source: Alexandria via LeMat-Bulk
Functional: PBE
Structure: optimized geometry

Results
M_tot: 0.000 μB per formula unit
E_form (uncorrected): -0.404 eV per atom

a = 4.2558 Å, b = 7.8709 Å, c = 8.1507 Å
α = 115.21°, β = 90.00°, γ = 105.69°
Fractional positions:
Na  0.8573  0.7146  0.9250
Na  0.1427  0.2854  0.0750
Pd  0.6881  0.3761  0.4002
Pd  0.6029  0.2058  0.6413
Pd  0.3120  0.6239  0.5998
Pd  0.0591  0.1181  0.3898
Pd  0.9409  0.8819  0.6102
Pd  0.3971  0.7942  0.3587
Se  0.4928  0.9856  0.8024
Se  0.8028  0.6056  0.2600
Se  0.1972  0.3944  0.7400
Se  0.5072  0.0144  0.1976

Compound: Na3Pd2Se4
Source: Alexandria via LeMat-Bulk
Functional: PBE
Structure: optimized geometry

Results
M_tot: 0.000 μB per formula unit
E_form (uncorrected): -0.612 eV per atom

a = 6.3688 Å, b = 8.3938 Å, c = 8.3938 Å
α = 60.41°, β = 89.75°, γ = 89.75°
Fractional positions:
Se  0.0040  0.6752  0.1338
Se  0.5040  0.1338  0.6752
Se  0.9960  0.3248  0.8662
Se  0.9340  0.7897  0.6077
Se  0.0660  0.2103  0.3923
Se  0.4960  0.8662  0.3248
Se  0.5660  0.3923  0.2103
Se  0.4340  0.6077  0.7897
Na  0.0525  0.9802  0.2087
Na  0.2500  0.4852  0.5148
Na  0.4475  0.7913  0.0198
Na  0.9475  0.0198  0.7913
Na  0.7500  0.5148  0.4852
Na  0.5525  0.2087  0.9802
Pd  0.2908  0.9289  0.5822
Pd  0.2092  0.4178  0.0711
Pd  0.7908  0.5822  0.9289
Pd  0.7092  0.0711  0.4178

Compound: Na4Pd2Se
Source: Alexandria via LeMat-Bulk
Functional: PBE
Structure: optimized geometry

Results
M_tot: 0.000 μB per formula unit
E_form (uncorrected): -0.026 eV per atom

a = 5.5031 Å, b = 5.5031 Å, c = 7.9285 Å
α = 69.69°, β = 69.69°, γ = 90.00°
Fractional positions:
Pd  0.5973  0.5973  0.8054
Pd  0.4027  0.4027  0.1946
Na  0.8032  0.8032  0.3936
Na  0.1968  0.1968  0.6064
Na  0.0000  0.5000  0.0000
Na  0.5000  0.0000  0.0000
Se  0.0000  0.0000  0.0000

Compound: NaPd2Se
Source: Alexandria via LeMat-Bulk
Functional: PBE
Structure: optimized geometry

Results
M_tot: 0.000 μB per formula unit
E_form (uncorrected): -0.289 eV per atom

a = 5.2176 Å, b = 5.2176 Å, c = 8.8498 Å
α = 72.86°, β = 72.86°, γ = 90.00°
Fractional positions:
Pd  0.8461  0.1250  0.2500
Pd  0.9039  0.6250  0.2500
Pd  0.8750  0.0961  0.7500
Pd  0.3750  0.1539  0.7500
Se  0.7500  0.2500  0.5000
Se  0.0000  0.0000  0.0000
Na  0.2500  0.7500  0.5000
Na  0.5000  0.5000  0.0000

Compound: NaPd2Se
Source: Alexandria via LeMat-Bulk
Functional: PBE
Structure: optimized geometry

Results
M_tot: 0.000 μB per formula unit
E_form (uncorrected): -0.344 eV per atom

a = 4.3287 Å, b = 5.3674 Å, c = 7.1978 Å
α = 90.00°, β = 90.00°, γ = 113.78°
Fractional positions:
Na  0.9359  0.8721  0.2500
Na  0.0641  0.1279  0.7500
Pd  0.6557  0.3116  0.0569
Pd  0.6557  0.3116  0.4431
Pd  0.3443  0.6884  0.5569
Pd  0.3443  0.6884  0.9431
Se  0.7801  0.5600  0.7500
Se  0.2199  0.4400  0.2500

Compound: NaPd5Se2
Source: Alexandria via LeMat-Bulk
Functional: PBE
Structure: optimized geometry

Results
M_tot: 0.000 μB per formula unit
E_form (uncorrected): -0.275 eV per atom

a = 4.2096 Å, b = 6.3411 Å, c = 6.3411 Å
α = 71.81°, β = 70.61°, γ = 70.61°
Fractional positions:
Pd  0.3478  0.8422  0.4622
Pd  0.3478  0.4622  0.8422
Pd  0.6522  0.1578  0.5378
Pd  0.0000  0.5000  0.5000
Pd  0.6522  0.5378  0.1578
Se  0.2588  0.2412  0.2412
Se  0.7412  0.7588  0.7588
Na  0.0000  0.0000  0.0000

Compound: NaPd3Se3
Source: Alexandria via LeMat-Bulk
Functional: PBE
Structure: optimized geometry

Results
M_tot: 0.000 μB per formula unit
E_form (uncorrected): -0.274 eV per atom

a = 7.0327 Å, b = 7.0327 Å, c = 7.0327 Å
α = 90.00°, β = 90.00°, γ = 90.00°
Fractional positions:
Pd  0.5000  0.0000  0.2500
Pd  0.2500  0.5000  0.0000
Pd  0.0000  0.7500  0.5000
Pd  0.7500  0.5000  0.0000
Pd  0.0000  0.2500  0.5000
Pd  0.5000  0.0000  0.7500
Na  0.5000  0.5000  0.5000
Na  0.0000  0.0000  0.0000
Se  0.0000  0.5000  0.2500
Se  0.2500  0.0000  0.5000
Se  0.0000  0.5000  0.7500
Se  0.5000  0.2500  0.0000
Se  0.5000  0.7500  0.0000
Se  0.7500  0.0000  0.5000

Compound: NaPd3Se
Source: Alexandria via LeMat-Bulk
Functional: PBE
Structure: optimized geometry

Results
M_tot: 0.000 μB per formula unit
E_form (uncorrected): 0.957 eV per atom
polymorph energy (0 for the lowest one): 105.9 kJ/mol of atoms

a = 4.6684 Å, b = 4.6684 Å, c = 4.6684 Å
α = 90.00°, β = 90.00°, γ = 90.00°
Fractional positions:
Pd  0.5000  0.0000  0.0000
Pd  0.0000  0.5000  0.0000
Pd  0.0000  0.0000  0.5000
Se  0.5000  0.5000  0.5000
Na  0.0000  0.0000  0.0000

Compound: NaPd4Se8
Source: Alexandria via LeMat-Bulk
Functional: PBE
Structure: optimized geometry

Results
M_tot: 0.000 μB per formula unit
E_form (uncorrected): -0.343 eV per atom

a = 7.5056 Å, b = 7.5056 Å, c = 8.3263 Å
α = 63.21°, β = 63.21°, γ = 60.00°
Fractional positions:
Pd  0.5000  0.5000  0.0000
Pd  0.5000  0.0000  0.0000
Pd  0.0000  0.5000  0.0000
Pd  0.0000  0.0000  0.0000
Se  0.2314  0.2314  0.8135
Se  0.7686  0.2764  0.1865
Se  0.2714  0.2714  0.1857
Se  0.7286  0.7286  0.8143
Se  0.2764  0.7686  0.1865
Se  0.7686  0.7686  0.1865
Se  0.2314  0.7236  0.8135
Se  0.7236  0.2314  0.8135
Na  0.5000  0.5000  0.5000

Compound: NaSnPdSe3
Source: Alexandria via LeMat-Bulk
Functional: PBE
Structure: optimized geometry

Results
M_tot: 0.000 μB per formula unit
E_form (uncorrected): -0.470 eV per atom

a = 3.8250 Å, b = 7.6616 Å, c = 10.6461 Å
α = 106.28°, β = 90.00°, γ = 90.00°
Fractional positions:
Na  0.2500  0.2193  0.2217
Na  0.7500  0.7807  0.7783
Se  0.7500  0.5063  0.1519
Se  0.2500  0.7861  0.5482
Se  0.7500  0.9043  0.0860
Se  0.2500  0.4937  0.8481
Se  0.7500  0.2139  0.4518
Se  0.2500  0.0957  0.9140
Pd  0.2500  0.7119  0.1243
Pd  0.7500  0.2881  0.8757
Sn  0.2500  0.1791  0.6354
Sn  0.7500  0.8209  0.3646

Compound: Na3TaPd2Se6
Source: Alexandria via LeMat-Bulk
Functional: PBE
Structure: optimized geometry

Results
M_tot: 0.000 μB per formula unit
E_form (uncorrected): -0.634 eV per atom

a = 6.7328 Å, b = 6.7328 Å, c = 7.2049 Å
α = 98.77°, β = 98.77°, γ = 120.47°
Fractional positions:
Se  0.6038  0.9290  0.7961
Se  0.2537  0.2537  0.7914
Se  0.0710  0.3962  0.2039
Se  0.9290  0.6038  0.7961
Se  0.7463  0.7463  0.2086
Se  0.3962  0.0710  0.2039
Na  0.1716  0.8284  0.5000
Na  0.8284  0.1716  0.5000
Na  0.5000  0.5000  0.5000
Ta  0.0000  0.0000  0.0000
Pd  0.6651  0.3349  0.0000
Pd  0.3349  0.6651  0.0000

Compound: NaTaPdSe3
Source: Alexandria via LeMat-Bulk
Functional: PBE
Structure: optimized geometry

Results
M_tot: 0.000 μB per formula unit
E_form (uncorrected): -0.789 eV per atom

a = 3.6718 Å, b = 7.6652 Å, c = 9.8044 Å
α = 109.49°, β = 90.00°, γ = 90.00°
Fractional positions:
Na  0.2500  0.2631  0.3015
Na  0.7500  0.7369  0.6985
Se  0.7500  0.9206  0.1253
Se  0.2500  0.5645  0.8774
Se  0.7500  0.4355  0.1226
Se  0.7500  0.2832  0.5617
Se  0.2500  0.7168  0.4383
Se  0.2500  0.0794  0.8747
Pd  0.2500  0.0704  0.6188
Pd  0.7500  0.9296  0.3812
Ta  0.7500  0.2924  0.8235
Ta  0.2500  0.7076  0.1765

Compound: Na2Ta2PdSe6
Source: Alexandria via LeMat-Bulk
Functional: PBE
Structure: optimized geometry

Results
M_tot: 0.000 μB per formula unit
E_form (uncorrected): -0.724 eV per atom

a = 6.3756 Å, b = 6.3756 Å, c = 7.4651 Å
α = 97.27°, β = 97.27°, γ = 118.78°
Fractional positions:
Na  0.8248  0.1752  0.0000
Na  0.1752  0.8248  0.0000
Ta  0.3673  0.6327  0.5000
Ta  0.6327  0.3673  0.5000
Se  0.0365  0.3851  0.6889
Se  0.6149  0.9635  0.3110
Se  0.6840  0.6840  0.7698
Se  0.3160  0.3160  0.2302
Se  0.3851  0.0365  0.6889
Se  0.9635  0.6149  0.3110
Pd  0.0000  0.0000  0.5000

Compound: Na3TcPd3Se8
Source: Alexandria via LeMat-Bulk
Functional: PBE
Structure: optimized geometry

Results
M_tot: 1.210 μB per formula unit
E_form (uncorrected): -0.474 eV per atom

a = 7.6627 Å, b = 7.6661 Å, c = 8.1457 Å
α = 118.09°, β = 90.00°, γ = 119.99°
Fractional positions:
Pd  0.5000  0.0000  0.5000
Pd  0.0000  0.5000  0.5000
Pd  0.5000  0.5000  0.5000
Se  0.7311  0.4621  0.6916
Se  0.2639  0.0348  0.3071
Se  0.2284  0.4568  0.6935
Se  0.7361  0.9652  0.6929
Se  0.7716  0.5432  0.3065
Se  0.7709  0.0348  0.3071
Se  0.2689  0.5379  0.3084
Se  0.2291  0.9652  0.6929
Na  0.5000  0.5000  0.0000
Na  0.0000  0.5000  0.0000
Na  0.0000  0.0000  0.0000
Tc  0.0000  0.0000  0.5000

Compound: NaTcPdSe2
Source: Alexandria via LeMat-Bulk
Functional: PBE
Structure: optimized geometry

Results
M_tot: 0.000 μB per formula unit
E_form (uncorrected): 0.077 eV per atom

a = 4.8399 Å, b = 5.0389 Å, c = 4.8399 Å
α = 90.00°, β = 90.00°, γ = 90.00°
Fractional positions:
Pd  0.0000  0.5000  0.0000
Tc  0.0000  0.0000  0.0000
Se  0.5000  0.0000  0.0000
Se  0.0000  0.0000  0.5000
Na  0.5000  0.5000  0.5000